# 1
## Pr6Lu (PBE)

Data for a geometry-optimized Pr6Lu structure.

Calculated values
formation energy from the elements: 1282.5 meV/atom

abc: 8.286 8.286 8.286
angles: 90.00 90.00 90.00
Space group Im-3m (No. 229)
Symmetry-distinct sites (fractional):
Pr 0.000 0.250 0.500
Lu 0.000 0.000 0.000

---

# 2
## PrLu3 (PBE)

Data for a geometry-optimized PrLu3 structure.

Calculated values
formation energy from the elements: 13.0 meV/atom

abc: 7.1528 7.1528 5.6308
angles: 90.00 90.00 120.00
Space group P6_3/mmc (No. 194)
Symmetry-distinct sites (fractional):
Pr 0.3333 0.6667 0.2500
Lu 0.1644 0.3288 0.7500

---

# 3
## PrLu2 (PBE)

Data for a geometry-optimized PrLu2 structure.

Calculated values
formation energy from the elements: 290.7 meV/atom

abc: 9.396 9.396 9.396
angles: 90.00 90.00 90.00
Space group Fd-3m (No. 227, origin choice 2)
Symmetry-distinct sites (fractional):
Pr 0.125 0.125 0.125
Lu 0.000 0.000 0.500